No. 1
DFT (GGA-PBE) results for a geometry-optimized OsRh2S structure.

Computed properties:
DOS at the Fermi energy	0.779	states/eV per atom
crystal system	tetragonal
formation energy from raw total energies	59.0	kJ per mole of atoms

a b c (Å): 6.4289 6.4289 6.4289
angles (deg): 128.45 128.45 75.90
Closest atoms and distances in Å follow each position.
Atoms (fractional coordinates):
Os 0.0000 0.0000 0.0000  4 Rh 2.39
Os 0.7500 0.2500 0.5000  4 Rh 2.39
Rh 0.1381 0.6250 0.0131  2 S 2.31, 2 Os 2.39
Rh 0.3750 0.3881 0.5131  2 S 2.31, 2 Os 2.39
Rh 0.6119 0.1250 0.9869  2 S 2.31, 2 Os 2.39
Rh 0.8750 0.8619 0.4869  2 S 2.31, 2 Os 2.39
S 0.2500 0.7500 0.5000  4 Rh 2.31
S 0.5000 0.5000 0.0000  4 Rh 2.31

No. 2
DFT (GGA-PBE) results for a geometry-optimized AlTlOs2 structure.

Computed properties:
DOS at the Fermi energy	0.788	states/eV per atom
crystal system	monoclinic
calculated formation energy	67.41	kJ per mole of atoms

a b c (Å): 5.3175 5.3175 2.9209
angles (deg): 105.09 105.09 113.93
Closest atoms and distances in Å follow each position.
Atoms (fractional coordinates):
Al 0.0000 0.0000 0.0000  4 Os 2.68, 4 Tl 2.90-2.97, 2 Al 2.92
Tl 0.5000 0.5000 0.0000  4 Os 2.68, 4 Al 2.90-2.97, 2 Tl 2.92
Os 0.0000 0.5000 0.5000  2 Tl 2.68, 2 Al 2.68, 6 Os 2.90-2.97
Os 0.5000 0.0000 0.5000  2 Tl 2.68, 2 Al 2.68, 6 Os 2.90-2.97

No. 3
DFT (GGA-PBE) results for a geometry-optimized Pm8GaTe4Se3 structure.

Computed properties:
DOS at the Fermi energy	0.497	states/eV per atom
crystal system	trigonal
formation energy from raw total energies	-145.4	kJ per mole of atoms

a b c (Å): 8.7991 8.7991 8.7991
angles (deg): 58.59 58.59 58.59
Closest atoms and distances in Å follow each position.
Atoms (fractional coordinates):
Pm 0.2401 0.2401 0.2401  3 Se 2.96, 3 Te 3.21
Pm 0.2465 0.7383 0.7383  1 Ga 2.93, 2 Se 2.98, 3 Te 3.18-3.23
Pm 0.2617 0.2617 0.7535  1 Ga 2.93, 2 Se 2.98, 3 Te 3.18-3.23
Pm 0.2617 0.7535 0.2617  1 Ga 2.93, 2 Se 2.98, 3 Te 3.18-3.23
Pm 0.7383 0.2465 0.7383  1 Ga 2.93, 2 Se 2.98, 3 Te 3.18-3.23
Pm 0.7383 0.7383 0.2465  1 Ga 2.93, 2 Se 2.98, 3 Te 3.18-3.23
Pm 0.7535 0.2617 0.2617  1 Ga 2.93, 2 Se 2.98, 3 Te 3.18-3.23
Pm 0.7599 0.7599 0.7599  3 Se 2.96, 3 Te 3.21
Ga 0.5000 0.5000 0.5000  6 Pm 2.93
Te 0.0000 0.0000 0.0000  6 Pm 3.23
Te 0.0000 0.5000 0.5000  6 Pm 3.18-3.21
Te 0.5000 0.0000 0.5000  6 Pm 3.18-3.21
Te 0.5000 0.5000 0.0000  6 Pm 3.18-3.21
Se 0.0000 0.0000 0.5000  6 Pm 2.96-2.98
Se 0.0000 0.5000 0.0000  6 Pm 2.96-2.98
Se 0.5000 0.0000 0.0000  6 Pm 2.96-2.98

No. 4
DFT (GGA-PBE) results for a geometry-optimized CoRe3As structure.

Computed properties:
DOS at the Fermi energy	1.463	states/eV per atom
crystal system	cubic
calculated formation energy	167.03	kJ per mole of atoms

a b c (Å): 4.4415 4.4415 4.4415
angles (deg): 90.00 90.00 90.00
Closest atoms and distances in Å follow each position.
Atoms (fractional coordinates):
Co 0.0000 0.0000 0.0000  6 Re 2.22
Re 0.0000 0.0000 0.5000  2 Co 2.22
Re 0.0000 0.5000 0.0000  2 Co 2.22
Re 0.5000 0.0000 0.0000  2 Co 2.22
As 0.5000 0.5000 0.5000  12 Re 3.14

Q: Which value of DOS at the Fermi energy does entry 1 give?
A: 0.779 states/eV per atom